[1]
A plane-wave DFT calculation with GGA-PBE was carried out for a geometry-optimized Al2TcAs structure.

Output
**Formation energy from the elements**: -0.35 eV per formula unit
**Density**: 6.2 g/cm3

Lattice parameters (Å, degrees): 5.2020 7.4835 3.1296 90.00 90.00 90.00
Last column: nearest neighbours and their distance in Å.
Space group Cmmm (No. 65)
Unique sites:
Al1 0.2500 0.2500 0.0000 x4  2 Al 2.60, 4 As 2.76, 4 Tc 2.76
Tc1 0.0000 0.0000 0.5000 x2  2 As 2.60, 8 Al 2.76
As1 0.0000 0.5000 0.5000 x2  2 Tc 2.60, 8 Al 2.76

---

[2]
A plane-wave DFT calculation with GGA-PBE was carried out for a geometry-optimized ZnCo2Ni structure.

Output
**Formation energy from the elements**: -0.08 eV per formula unit
**Density**: 8.7 g/cm3

Lattice parameters (Å, degrees): 2.5470 2.5470 24.7160 90.00 90.00 120.00
Last column: nearest neighbours and their distance in Å.
Space group R3m (No. 160, hexagonal axes)
Unique sites:
Zn1 0.0000 0.0000 0.0000 x3  6 Zn 2.55, 3 Ni 2.57, 3 Co 2.63
Co1 0.0000 0.0000 0.4999 x3  9 Co 2.43-2.55, 3 Ni 2.49
Co2 0.0000 0.0000 0.7548 x3  9 Co 2.43-2.55, 3 Zn 2.63
Ni1 0.0000 0.0000 0.2479 x3  3 Co 2.49, 6 Ni 2.55, 3 Zn 2.57

---

[3]
A plane-wave DFT calculation with GGA-PBE was carried out for a geometry-optimized NbAlS2Cl structure.

Output
**E above lowest polymorph**: 390 meV per atom
**Density**: 3.7 g/cm3
**Uncorrected formation energy**: -0.014 eV/atom

Lattice parameters (Å, degrees): 4.6874 4.6874 4.4484 90.00 90.00 90.00
Last column: nearest neighbours and their distance in Å.
Space group P4/mmm (No. 123)
Unique sites:
Nb1 0.0000 0.0000 0.0000 x1  8 S 3.23, 4 Cl 3.31
Al1 0.5000 0.5000 0.5000 x1  2 Cl 2.22, 4 S 2.34
S1 0.0000 0.5000 0.5000 x2  2 Al 2.34
Cl1 0.5000 0.5000 0.0000 x1  2 Al 2.22

---

[4]
A plane-wave DFT calculation with GGA-PBE was carried out for a geometry-optimized BaMg4Pb12 structure.

Output
**Formation energy from the elements**: 1.17 eV per formula unit
**Density**: 8.1 g/cm3

Lattice parameters (Å, degrees): 10.3737 10.3737 10.3737 90.00 90.00 90.00
Last column: nearest neighbours and their distance in Å.
Space group Im-3 (No. 204)
Unique sites:
Ba1 0.0000 0.0000 0.0000 x2  12 Pb 4.01, 8 Mg 4.49
Mg1 0.2500 0.2500 0.2500 x8  6 Pb 2.96
Pb1 0.0000 0.3526 0.1590 x24  2 Mg 2.96, 2 Pb 3.06-3.30

---

[5]
A plane-wave DFT calculation with GGA-PBE was carried out for a geometry-optimized Ce2Ga7Ni structure.

Output
**Formation energy from the elements**: -4.59 eV per formula unit
**Density**: 7.2 g/cm3

Lattice parameters (Å, degrees): 4.2879 4.2879 10.3787 90.00 90.00 90.00
Last column: nearest neighbours and their distance in Å.
Space group P-4m2 (No. 115)
Unique sites:
Ce1 0.0000 0.5000 0.2387 x2  14 Ga 3.27-3.46, 2 Ni 3.28
Ga1 0.0000 0.0000 0.0000 x1  4 Ga 2.49
Ga2 0.0000 0.0000 0.5000 x1  4 Ga 2.60
Ga3 0.0000 0.5000 0.6416 x2  5 Ga 2.46-2.60
Ga4 0.0000 0.5000 0.8785 x2  3 Ga 2.46-2.49, 2 Ni 2.49
Ga5 0.5000 0.5000 0.5000 x1  4 Ga 2.60
Ni1 0.5000 0.5000 0.0000 x1  4 Ga 2.49

---

[6]
A plane-wave DFT calculation with GGA-PBE was carried out for a geometry-optimized UVRe2 structure.

Output
**E above lowest polymorph**: 0 meV per atom
**Formation energy from the elements**: -0.03 eV per formula unit
**Density**: 16.8 g/cm3

Lattice parameters (Å, degrees): 2.9733 2.9733 7.3940 90.00 90.00 90.00
Last column: nearest neighbours and their distance in Å.
Space group P4/mmm (No. 123)
Unique sites:
U1 0.0000 0.0000 0.0000 x1  4 U 2.97, 8 Re 3.01
V1 0.0000 0.0000 0.5000 x1  8 Re 2.60
Re1 0.5000 0.5000 0.2923 x2  4 V 2.60